(1)
A relaxed structure of KGaPt. Source: Alexandria via LeMat-Bulk, functional GGA-PBE.

For the total magnetization, the calculation gives 0.0000 μB/atom. As for the formation energy: -392 meV per atom. Its density of states at the Fermi level is 0.62 states/eV/cell.

The structure belongs to space group P-6m2 (No. 187); the cell edges are 4.2552, 4.2552 and 5.2539 Å and the angles 90.00°, 90.00° and 120.00°. The distinct sites, in fractional coordinates, are K at (0.0000, 0.0000, 0.0000), Ga at (0.6667, 0.3333, 0.5000) and Pt at (0.3333, 0.6667, 0.5000).


(2)
A relaxed structure of NdPdPb. Source: Alexandria via LeMat-Bulk, functional GGA-PBE.

For the total magnetization, the calculation gives 0.0000 μB/atom. As for the formation energy: -682 meV per atom. Its density of states at the Fermi level is 11.59 states/eV/cell.

The structure belongs to space group Pmma (No. 51); the cell edges are 14.161, 3.959 and 8.007 Å and the angles 90.00°, 90.00° and 90.00°. The distinct sites, in fractional coordinates, are Nd at (0.051, 0.000, 0.225), Nd at (0.250, 0.000, 0.839), Pd at (0.092, 0.500, 0.931), Pd at (0.250, 0.000, 0.435), Pb at (0.119, 0.500, 0.565) and Pb at (0.250, 0.500, 0.176).


(3)
A relaxed structure of Na5CdHg6. Source: Alexandria via LeMat-Bulk, functional GGA-PBE.

For the total magnetization, the calculation gives 0.0000 μB/atom. As for the formation energy: -221 meV per atom. Its density of states at the Fermi level is 7.14 states/eV/cell.

The structure belongs to space group Immm (No. 71); the cell edges are 5.267, 7.377 and 15.711 Å and the angles 90.00°, 90.00° and 90.00°. The distinct sites, in fractional coordinates, are Na at (0.000, 0.000, 0.000), Na at (0.000, 0.000, 0.331), Na at (0.000, 0.500, 0.336), Cd at (0.000, 0.500, 0.000), Hg at (0.000, 0.241, 0.500) and Hg at (0.000, 0.257, 0.167).


(4)
A relaxed structure of Tl2ICl. Source: Alexandria via LeMat-Bulk, functional GGA-PBE.

For the total magnetization, the calculation gives 0.0000 μB/atom. Its density of states at the Fermi level is 0.00 states/eV/cell. The uncorrected formation energy is -0.83 eV/atom.

The structure belongs to space group R-3m (No. 166, hexagonal axes); the cell edges are 4.7958, 4.7958 and 23.5684 Å and the angles 90.00°, 90.00° and 120.00°. The distinct sites, in fractional coordinates, are Tl at (0.0000, 0.0000, 0.2411), I at (0.0000, 0.0000, 0.0000) and Cl at (0.0000, 0.0000, 0.5000).


(5)
A relaxed structure of AlSb2IN. Source: Alexandria via LeMat-Bulk, functional GGA-PBE.

For the total magnetization, the calculation gives 0.4011 μB/atom. Its density of states at the Fermi level is 3.54 states/eV/cell. The uncorrected formation energy is 1.37 eV/atom.

The structure belongs to space group P4/mmm (No. 123); the cell edges are 5.337, 5.337 and 5.662 Å and the angles 90.00°, 90.00° and 90.00°. The distinct sites, in fractional coordinates, are Al at (0.000, 0.000, 0.000), Sb at (0.000, 0.500, 0.000), I at (0.000, 0.000, 0.500) and N at (0.500, 0.500, 0.500).


(6)
A relaxed structure of PmHo2ErBi4. Source: Alexandria via LeMat-Bulk, functional GGA-PBE.

For the total magnetization, the calculation gives 0.0000 μB/atom. As for the formation energy: -852 meV per atom. Its density of states at the Fermi level is 1.24 states/eV/cell.

The structure belongs to space group P2/m (No. 10); the cell edges are 7.772, 4.491 and 7.773 Å and the angles 90.00°, 109.48° and 90.00°. The distinct sites, in fractional coordinates, are Pm at (0.000, 0.000, 0.000), Ho at (0.000, 0.500, 0.500), Ho at (0.500, 0.000, 0.500), Er at (0.500, 0.500, 0.000), Bi at (0.253, 0.000, 0.748) and Bi at (0.256, 0.500, 0.255).


(7)
A relaxed structure of Mn2ZnAg. Source: Alexandria via LeMat-Bulk, functional GGA-PBE.

For the total magnetization, the calculation gives 1.8801 μB/atom. As for the formation energy: 580 meV per atom. Its density of states at the Fermi level is 13.68 states/eV/cell.

The structure belongs to space group I-42d (No. 122); the cell edges are 7.148, 7.148 and 5.288 Å and the angles 90.00°, 90.00° and 90.00°. The distinct sites, in fractional coordinates, are Mn at (0.236, 0.250, 0.125), Zn at (0.000, 0.000, 0.000) and Ag at (0.000, 0.000, 0.500).


(8)
A relaxed structure of ReBiF2. Source: Alexandria via LeMat-Bulk, functional GGA-PBE.

For the total magnetization, the calculation gives 0.8258 μB/atom. Its density of states at the Fermi level is 10.18 states/eV/cell. The uncorrected formation energy is 0.10 eV/atom.

The structure belongs to space group Fm-3m (No. 225); the cell edges are 6.383, 6.383 and 6.383 Å and the angles 90.00°, 90.00° and 90.00°. The distinct sites, in fractional coordinates, are Re at (0.000, 0.000, 0.000), Bi at (0.000, 0.000, 0.500) and F at (0.250, 0.250, 0.250).


(9)
A relaxed structure of Zn3CrPt. Source: Alexandria via LeMat-Bulk, functional GGA-PBE.

For the total magnetization, the calculation gives 0.9635 μB/atom. As for the formation energy: 359 meV per atom. Its density of states at the Fermi level is 2.38 states/eV/cell.

The structure belongs to space group Pm-3m (No. 221); the cell edges are 4.794, 4.794 and 4.794 Å and the angles 90.00°, 90.00° and 90.00°. The distinct sites, in fractional coordinates, are Zn at (0.000, 0.000, 0.500), Cr at (0.500, 0.500, 0.500) and Pt at (0.000, 0.000, 0.000).


(10)
A relaxed structure of CaTeAs2. Source: Alexandria via LeMat-Bulk, functional GGA-PBE.

For the total magnetization, the calculation gives 0.0000 μB/atom. Its density of states at the Fermi level is 1.09 states/eV/cell. The uncorrected formation energy is -0.54 eV/atom.

The structure belongs to space group Cm (No. 8); the cell edges are 12.658, 4.086 and 4.357 Å and the angles 90.00°, 93.95° and 90.00°. The distinct sites, in fractional coordinates, are Ca at (0.000, 0.000, 0.000), Te at (0.243, 0.500, 0.001), As at (0.300, 0.000, 0.438) and As at (0.489, 0.000, 0.493).


(11)
A relaxed structure of Zr3Cl. Source: Alexandria via LeMat-Bulk, functional GGA-PBE.

For the total magnetization, the calculation gives 0.0000 μB/atom. Its density of states at the Fermi level is 4.55 states/eV/cell. The uncorrected formation energy is -0.09 eV/atom.

The structure belongs to space group Pmm2 (No. 25); the cell edges are 3.142, 5.250 and 5.765 Å and the angles 90.00°, 90.00° and 90.00°. The distinct sites, in fractional coordinates, are Zr at (0.000, 0.000, 0.000), Zr at (0.000, 0.500, 0.197), Zr at (0.500, 0.500, 0.744) and Cl at (0.500, 0.000, 0.638).


(12)
A relaxed structure of BeAs2SeS. Source: Alexandria via LeMat-Bulk, functional GGA-PBE.

For the total magnetization, the calculation gives 0.0000 μB/atom. Its density of states at the Fermi level is 4.73 states/eV/cell. The uncorrected formation energy is 1.09 eV/atom.

The structure belongs to space group P4/mmm (No. 123); the cell edges are 4.785, 4.785 and 4.810 Å and the angles 90.00°, 90.00° and 90.00°. The distinct sites, in fractional coordinates, are Be at (0.000, 0.000, 0.000), As at (0.000, 0.500, 0.500), Se at (0.500, 0.500, 0.000) and S at (0.500, 0.500, 0.500).